# Li2VHO4

An optimized crystal structure of Li2VHO4 (PBE+U, Alexandria).

a b c (Å): 4.3581 4.3581 5.7067
angles (deg): 117.98 117.98 76.79
Fractional positions:
O: 0.3337 0.8748 0.2085
O: 0.8748 0.3337 0.2085
Li: 0.2326 0.7326 0.4653
O: 0.5741 0.5741 0.7511
O: 0.1771 0.1771 0.7511
V: 0.4860 0.4860 0.9721
H: 0.0894 0.0894 0.1787
Li: 0.7326 0.2326 0.4653

Values from the calculation:
DFT total energy ... -6.094 eV/atom
Volume ... 85 Å³ per cell